RbBaPrI6 (PBE, relaxed); electronic total energy = -3.445 eV per atom; space-group type = No. 163; total magnetization = 0.000 μB/f.u.; raw formation energy = -1.560 eV/atom
1.0
8.662 0.000 0.000
-4.331 7.502 0.000
0.000 0.000 15.514
Rb Ba Pr I
2 2 2 12
Direct
0.000 0.000 0.000
0.000 0.000 0.500
0.333 0.667 0.250
0.667 0.333 0.750
0.667 0.333 0.250
0.333 0.667 0.750
0.648 0.620 0.131
0.972 0.352 0.131
0.352 0.972 0.631
0.028 0.648 0.869
0.380 0.352 0.369
0.972 0.620 0.369
0.620 0.972 0.869
0.648 0.028 0.369
0.028 0.380 0.631
0.380 0.028 0.131
0.620 0.648 0.631
0.352 0.380 0.869



BaPrSbI (PBE, relaxed); electronic total energy = -4.278 eV per atom; space-group type = No. 166; total magnetization = 0.764 μB/f.u.; raw formation energy = -1.184 eV/atom
1.0
5.181 0.000 0.000
2.590 4.487 0.000
2.590 1.496 15.762
Ba Pr Sb I
2 2 2 2
Direct
0.592 0.592 0.223
0.408 0.408 0.777
0.809 0.809 0.572
0.191 0.191 0.428
0.119 0.119 0.642
0.881 0.881 0.358
0.704 0.704 0.888
0.296 0.296 0.112



Ba3PtI (PBE, relaxed); electronic total energy = -3.520 eV per atom; relative energy among the computed polymorphs = 0.0 meV/atom; space-group type = No. 59; total magnetization = 0.717 μB/f.u.; raw formation energy = -0.848 eV/atom
1.0
4.789 0.000 0.000
0.000 8.028 0.000
0.000 0.000 11.203
Ba Pt I
6 2 2
Direct
0.750 0.495 0.142
0.250 0.505 0.858
0.750 0.005 0.142
0.250 0.995 0.858
0.750 0.250 0.601
0.250 0.750 0.399
0.750 0.250 0.897
0.250 0.750 0.103
0.250 0.250 0.354
0.750 0.750 0.646



Ba3PtI (PBE, relaxed); electronic total energy = -3.386 eV per atom; relative energy among the computed polymorphs = 133.7 meV/atom; space-group type = No. 221; total magnetization = 0.000 μB/f.u.; raw formation energy = -0.715 eV/atom
1.0
-2.785 -5.507 1.114
0.560 -1.510 -6.061
5.591 -2.592 1.162
I Ba Pt
1 3 1
Direct
0.500 0.500 0.500
0.000 0.500 0.000
0.000 0.000 0.500
0.500 0.000 0.000
0.000 0.000 0.000



BaPt3I (PBE, relaxed); electronic total energy = -2.826 eV per atom; relative energy among the computed polymorphs = 1353.8 meV/atom; space-group type = No. 221; total magnetization = 0.000 μB/f.u.; raw formation energy = 1.493 eV/atom
1.0
5.458 0.000 0.000
0.000 5.458 0.000
0.000 0.000 5.458
I Ba Pt
1 1 3
Direct
0.500 0.500 0.500
0.000 0.000 0.000
0.000 0.500 0.000
0.000 0.000 0.500
0.500 0.000 0.000



Ba6Pt3I2 (PBE, relaxed); electronic total energy = -3.959 eV per atom; space-group type = No. 12; total magnetization = 0.000 μB/f.u.; raw formation energy = -0.980 eV/atom
1.0
7.689 0.000 2.295
3.845 6.947 1.148
0.072 0.000 9.147
Ba Pt I
6 3 2
Direct
0.399 0.663 0.804
0.736 0.000 0.806
0.062 0.337 0.804
0.264 0.000 0.194
0.601 0.337 0.196
0.938 0.663 0.196
0.000 0.000 0.000
0.332 0.336 0.000
0.668 0.664 0.000
0.166 0.667 0.500
0.834 0.333 0.500



BaPtI2 (PBE, relaxed); electronic total energy = -3.378 eV per atom; relative energy among the computed polymorphs = 0.0 meV/atom; space-group type = No. 122; total magnetization = 0.000 μB/f.u.; raw formation energy = -0.612 eV/atom
1.0
6.239 0.000 0.000
0.000 6.239 0.000
3.120 3.120 8.352
I Ba Pt
4 2 2
Direct
0.710 0.125 0.250
0.040 0.625 0.250
0.375 0.290 0.750
0.875 0.960 0.750
0.500 0.500 0.000
0.250 0.750 0.500
0.000 0.000 0.000
0.750 0.250 0.500



Ba6Pt3I (PBE, relaxed); electronic total energy = -3.918 eV per atom; space-group type = No. 11; total magnetization = 0.000 μB/f.u.; raw formation energy = -0.797 eV/atom
1.0
-0.155 -2.345 3.911
0.354 -11.021 -6.595
14.745 5.448 3.852
Ba Pt I
12 6 2
Direct
0.750 0.169 0.586
0.250 0.831 0.414
0.750 0.139 0.080
0.250 0.861 0.920
0.750 0.650 0.569
0.250 0.350 0.431
0.750 0.532 0.276
0.250 0.468 0.724
0.750 0.272 0.876
0.250 0.728 0.124
0.750 0.019 0.273
0.250 0.981 0.727
0.750 0.409 0.577
0.250 0.591 0.423
0.750 0.773 0.267
0.250 0.227 0.733
0.750 0.006 0.871
0.250 0.994 0.129
0.750 0.612 0.923
0.250 0.388 0.077



Ba4Pt2I (PBE, relaxed); electronic total energy = -3.985 eV per atom; space-group type = No. 166; total magnetization = 0.000 μB/f.u.; raw formation energy = -0.939 eV/atom
1.0
4.591 0.000 0.667
2.247 4.003 0.667
-0.023 -0.013 16.285
I Ba Pt
1 4 2
Direct
0.000 0.000 0.000
0.125 0.125 0.625
0.279 0.279 0.162
0.721 0.721 0.838
0.875 0.875 0.375
0.423 0.423 0.731
0.577 0.577 0.269



BaPtI3 (PBE, relaxed); electronic total energy = -3.348 eV per atom; relative energy among the computed polymorphs = 0.0 meV/atom; space-group type = No. 221; total magnetization = 0.000 μB/f.u.; raw formation energy = -0.825 eV/atom
1.0
-2.825 -3.509 3.362
4.594 -0.658 3.173
-1.587 4.342 3.198
I Ba Pt
3 1 1
Direct
0.000 0.500 0.000
0.000 0.000 0.500
0.500 0.000 0.000
0.500 0.500 0.500
0.000 0.000 0.000



Ba2Pt2I (PBE, relaxed); electronic total energy = -4.282 eV per atom; space-group type = No. 127; total magnetization = 0.000 μB/f.u.; raw formation energy = -0.787 eV/atom
1.0
8.616 0.000 0.000
0.000 8.616 0.000
0.000 0.000 4.219
I Ba Pt
2 4 4
Direct
0.000 0.000 0.000
0.500 0.500 0.000
0.180 0.680 0.500
0.680 0.820 0.500
0.820 0.320 0.500
0.320 0.180 0.500
0.391 0.891 0.000
0.891 0.609 0.000
0.609 0.109 0.000
0.109 0.391 0.000



BaPtI3 (PBE, relaxed); electronic total energy = -2.358 eV per atom; relative energy among the computed polymorphs = 989.6 meV/atom; space-group type = No. 221; total magnetization = 1.002 μB/f.u.; raw formation energy = 0.165 eV/atom
1.0
-4.895 -3.962 -2.304
0.701 -3.979 5.352
-4.529 3.665 3.319
I Ba Pt
3 1 1
Direct
0.000 0.500 0.000
0.000 0.000 0.500
0.500 0.000 0.000
0.000 0.000 0.000
0.500 0.500 0.500



BaPt3I (PBE, relaxed); electronic total energy = -4.180 eV per atom; relative energy among the computed polymorphs = 0.0 meV/atom; space-group type = No. 221; total magnetization = 0.000 μB/f.u.; raw formation energy = 0.139 eV/atom
1.0
5.143 0.000 0.000
0.000 5.143 0.000
0.000 0.000 5.143
I Ba Pt
1 1 3
Direct
0.000 0.000 0.000
0.500 0.500 0.500
0.000 0.500 0.000
0.000 0.000 0.500
0.500 0.000 0.000



BaPtI2 (PBE, relaxed); electronic total energy = -3.218 eV per atom; relative energy among the computed polymorphs = 160.4 meV/atom; space-group type = No. 225; total magnetization = 0.000 μB/f.u.; raw formation energy = -0.452 eV/atom
1.0
0.000 4.007 4.007
4.007 0.000 4.007
4.007 4.007 0.000
I Ba Pt
2 1 1
Direct
0.250 0.250 0.250
0.750 0.750 0.750
0.000 0.000 0.000
0.500 0.500 0.500



Ba5PtI5 (PBE, relaxed); electronic total energy = -3.499 eV per atom; space-group type = No. 12; total magnetization = 2.313 μB/f.u.; raw formation energy = -1.371 eV/atom
1.0
6.953 0.000 0.000
-3.476 7.778 -2.660
0.000 -0.005 9.962
Ba Pt I
5 1 5
Direct
0.863 0.726 0.148
0.857 0.713 0.704
0.500 0.000 0.000
0.143 0.287 0.296
0.137 0.274 0.852
0.000 0.000 0.000
0.697 0.394 0.331
0.676 0.352 0.838
0.000 0.000 0.500
0.324 0.648 0.162
0.303 0.606 0.669



BaPtI (PBE, relaxed); electronic total energy = -3.698 eV per atom; space-group type = No. 38; total magnetization = 0.085 μB/f.u.; raw formation energy = -0.527 eV/atom
1.0
4.705 0.000 0.000
-2.353 4.090 0.000
0.000 0.000 13.087
Pt I Ba
2 2 2
Direct
0.556 0.112 0.000
0.555 0.109 0.500
0.555 0.110 0.308
0.555 0.110 0.692
0.223 0.446 0.852
0.223 0.446 0.148



Ba4Pt2I3 (PBE, relaxed); electronic total energy = -3.920 eV per atom; space-group type = No. 12; total magnetization = 0.000 μB/f.u.; raw formation energy = -1.206 eV/atom
1.0
-1.753 -2.699 -3.054
3.878 -8.608 2.158
-8.964 -0.945 2.756
Ba Pt I
4 2 3
Direct
0.694 0.231 0.380
0.306 0.769 0.620
0.491 0.214 0.803
0.509 0.786 0.197
0.816 0.909 0.458
0.184 0.091 0.542
0.000 0.000 0.000
0.163 0.461 0.214
0.837 0.539 0.786



Ba4PtI5 (PBE, relaxed); electronic total energy = -3.627 eV per atom; space-group type = No. 12; total magnetization = 0.000 μB/f.u.; raw formation energy = -1.479 eV/atom
1.0
-4.604 1.474 0.963
-2.030 -8.868 3.871
5.895 5.214 7.584
Ba Pt I
4 1 5
Direct
0.347 0.909 0.695
0.998 0.767 0.996
0.653 0.091 0.305
0.002 0.233 0.004
0.500 0.000 0.000
0.830 0.658 0.660
0.830 0.152 0.659
0.170 0.848 0.341
0.500 0.500 0.000
0.170 0.342 0.340



Ba8Pt3I4 (PBE, relaxed); electronic total energy = -3.686 eV per atom; space-group type = No. 166; total magnetization = 1.113 μB/f.u.; raw formation energy = -1.039 eV/atom
1.0
3.922 -0.910 8.630
2.309 -8.631 3.295
10.489 -2.357 0.238
Ba Pt I
8 3 4
Direct
0.226 0.226 0.322
0.204 0.745 0.307
0.745 0.745 0.307
0.745 0.204 0.307
0.774 0.774 0.678
0.796 0.255 0.693
0.255 0.255 0.693
0.255 0.796 0.693
0.500 0.000 0.500
0.000 0.000 0.500
0.000 0.500 0.500
0.000 0.000 0.000
0.355 0.355 0.935
0.500 0.500 0.500
0.645 0.645 0.065



Ba6Pt2I (PBE, relaxed); electronic total energy = -3.481 eV per atom; space-group type = No. 146; total magnetization = 0.000 μB/f.u.; raw formation energy = -0.685 eV/atom
1.0
7.254 0.000 3.941
2.556 6.788 3.941
-0.220 -0.153 9.052
Ba Pt I
6 2 1
Direct
0.518 0.248 0.356
0.248 0.878 0.356
0.878 0.518 0.356
0.359 0.683 0.866
0.683 0.091 0.866
0.091 0.359 0.866
0.291 0.291 0.128
0.468 0.468 0.595
0.798 0.798 0.607



Ba3PtI (PBE, relaxed); electronic total energy = -3.495 eV per atom; relative energy among the computed polymorphs = 24.9 meV/atom; space-group type = No. 59; total magnetization = 0.000 μB/f.u.; raw formation energy = -0.823 eV/atom
1.0
4.418 0.000 0.000
0.000 11.153 0.000
0.000 0.000 9.315
Ba Pt I
6 2 2
Direct
0.250 0.418 0.162
0.750 0.582 0.838
0.250 0.082 0.162
0.750 0.918 0.838
0.250 0.250 0.747
0.750 0.750 0.253
0.750 0.250 0.989
0.250 0.750 0.011
0.750 0.250 0.430
0.250 0.750 0.570



Ba4Pt2I5 (PBE, relaxed); electronic total energy = -3.796 eV per atom; space-group type = No. 12; total magnetization = 0.985 μB/f.u.; raw formation energy = -1.294 eV/atom
1.0
-1.562 2.665 -3.698
-4.582 -7.386 -3.389
-5.907 4.781 9.079
Ba Pt I
4 2 5
Direct
0.702 0.704 0.404
0.003 0.718 0.007
0.298 0.296 0.596
0.997 0.282 0.993
0.557 0.521 0.115
0.443 0.479 0.885
0.167 0.933 0.334
0.833 0.067 0.666
0.166 0.411 0.332
0.500 0.000 0.000
0.834 0.589 0.668



Ba3Pt2I (PBE, relaxed); electronic total energy = -4.050 eV per atom; space-group type = No. 63; total magnetization = 0.000 μB/f.u.; raw formation energy = -0.817 eV/atom
1.0
5.204 0.000 0.000
-2.602 8.566 0.000
-0.001 0.000 10.959
Ba Pt I
6 4 2
Direct
0.608 0.216 0.053
0.098 0.195 0.750
0.608 0.216 0.447
0.902 0.805 0.250
0.392 0.784 0.947
0.392 0.784 0.553
0.000 0.000 0.000
0.000 0.000 0.500
0.484 0.967 0.250
0.516 0.033 0.750
0.230 0.461 0.250
0.770 0.539 0.750